Record 1
GGA-PBE Li2AuBr, optimized geometry; magnetization = 0.0 μB per formula unit; E = -2.985 eV/atom
1.0
3.3207 0.0000 0.0000
0.0000 3.3207 0.0000
0.0000 0.0000 6.7002
Li Au Br
2 1 1
Direct
0.0000 0.0000 0.2500
0.0000 0.0000 0.7500
0.5000 0.5000 0.0000
0.5000 0.5000 0.5000

Record 2
GGA-PBE LiAuBr, optimized geometry; magnetization = 0.0 μB per formula unit; E = -2.276 eV/atom
1.0
4.0815 0.0000 0.0000
0.0000 4.0815 0.0000
0.0000 0.0000 9.9345
Li Au Br
2 2 2
Direct
0.2500 0.7500 0.0000
0.7500 0.2500 0.0000
0.2500 0.2500 0.1635
0.7500 0.7500 0.8365
0.2500 0.2500 0.5006
0.7500 0.7500 0.4994

Record 3
GGA-PBE LiAuBr, optimized geometry; magnetization = 0.0 μB per formula unit; E = -2.673 eV/atom
1.0
3.1925 0.0000 0.0000
-1.5962 2.7648 0.0000
0.0000 0.0000 7.0592
Li Au Br
1 1 1
Direct
0.0000 0.0000 0.0000
0.6667 0.3333 0.2951
0.3333 0.6667 0.7596

Record 4
GGA-PBE LiAuBr5, optimized geometry; magnetization = 0.0 μB per formula unit; E = -2.332 eV/atom
1.0
5.4972 -4.1909 0.0000
5.4972 4.1909 0.0000
-5.4701 0.0000 9.5224
Li Au Br
2 2 10
Direct
0.0824 0.9176 0.7500
0.9176 0.0824 0.2500
0.0000 0.5000 0.0000
0.5000 0.0000 0.5000
0.1402 0.3500 0.4886
0.1650 0.5943 0.8727
0.2241 0.7759 0.2500
0.3500 0.1402 0.9886
0.4057 0.8350 0.6273
0.5943 0.1650 0.3727
0.6500 0.8598 0.0114
0.7759 0.2241 0.7500
0.8350 0.4057 0.1273
0.8598 0.6500 0.5114

Record 5
GGA-PBE Li2AuBr, optimized geometry; magnetization = 0.0 μB per formula unit; E = -2.932 eV/atom
1.0
3.6825 0.0000 0.0000
0.0000 3.6825 0.0000
0.0000 0.0000 13.7660
Li Au Br
4 2 2
Direct
0.0000 0.0000 0.0000
0.0000 0.5000 0.2500
0.5000 0.0000 0.7500
0.5000 0.5000 0.5000
0.0000 0.5000 0.7500
0.5000 0.0000 0.2500
0.0000 0.0000 0.5000
0.5000 0.5000 0.0000

Record 6
GGA-PBE LiAuBr, optimized geometry; magnetization = 0.0 μB per formula unit; E = -2.618 eV/atom
1.0
6.3946 0.0000 0.0000
0.0000 6.3946 0.0000
0.0000 0.0000 6.3946
Li Au Br
4 4 4
Direct
0.0000 0.0000 0.0000
0.0000 0.5000 0.5000
0.5000 0.0000 0.5000
0.5000 0.5000 0.0000
0.2500 0.2500 0.2500
0.2500 0.7500 0.7500
0.7500 0.2500 0.7500
0.7500 0.7500 0.2500
0.2500 0.2500 0.7500
0.2500 0.7500 0.2500
0.7500 0.2500 0.2500
0.7500 0.7500 0.7500

Record 7
GGA-PBE Li2AuBr, optimized geometry; magnetization = 0.0 μB per formula unit; E = -3.026 eV/atom
1.0
13.1361 0.0000 0.0000
0.0000 3.6664 0.0000
-0.0403 0.0000 3.6944
Li Au Br
4 2 2
Direct
0.0000 0.0000 0.0000
0.1551 0.5000 0.5063
0.5000 0.5000 0.0000
0.6551 0.0000 0.5063
0.4478 0.0000 0.4983
0.9478 0.5000 0.4983
0.1938 0.0000 0.0080
0.6938 0.5000 0.0080

Record 8
GGA-PBE Li5Au3Br12, optimized geometry; magnetization = 1.5 μB per formula unit; E = -2.577 eV/atom
1.0
-8.3453 8.3453 8.3453
8.3453 -8.3453 8.3453
8.3453 8.3453 -8.3453
Li Au Br
20 12 48
Direct
0.0000 0.0000 0.0000
0.0000 0.0000 0.5000
0.0000 0.5000 0.0000
0.0000 0.5000 0.5000
0.1250 0.7500 0.8750
0.1250 0.8750 0.2500
0.2500 0.1250 0.8750
0.2500 0.6250 0.3750
0.3750 0.2500 0.6250
0.3750 0.6250 0.7500
0.5000 0.0000 0.0000
0.5000 0.0000 0.5000
0.5000 0.5000 0.0000
0.5000 0.5000 0.5000
0.6250 0.3750 0.2500
0.6250 0.7500 0.3750
0.7500 0.3750 0.6250
0.7500 0.8750 0.1250
0.8750 0.1250 0.7500
0.8750 0.2500 0.1250
0.1250 0.2500 0.3750
0.1250 0.3750 0.7500
0.2500 0.3750 0.1250
0.2500 0.8750 0.6250
0.3750 0.1250 0.2500
0.3750 0.7500 0.1250
0.6250 0.2500 0.8750
0.6250 0.8750 0.7500
0.7500 0.1250 0.3750
0.7500 0.6250 0.8750
0.8750 0.6250 0.2500
0.8750 0.7500 0.6250
0.0325 0.1956 0.1573
0.0325 0.3370 0.8752
0.0382 0.6956 0.6630
0.0382 0.8427 0.3752
0.1248 0.6573 0.4618
0.1248 0.9675 0.6630
0.1573 0.0325 0.1956
0.1573 0.6248 0.9618
0.1630 0.1956 0.5382
0.1630 0.4675 0.6248
0.1956 0.1573 0.0325
0.1956 0.5382 0.1630
0.3044 0.3370 0.9618
0.3044 0.4675 0.3427
0.3370 0.8752 0.0325
0.3370 0.9618 0.3044
0.3427 0.3044 0.4675
0.3427 0.5382 0.8752
0.3752 0.0382 0.8427
0.3752 0.8370 0.5325
0.4618 0.1248 0.6573
0.4618 0.8370 0.8044
0.4675 0.3427 0.3044
0.4675 0.6248 0.1630
0.5325 0.3752 0.8370
0.5325 0.6573 0.6956
0.5382 0.1630 0.1956
0.5382 0.8752 0.3427
0.6248 0.1630 0.4675
0.6248 0.9618 0.1573
0.6573 0.4618 0.1248
0.6573 0.6956 0.5325
0.6630 0.0382 0.6956
0.6630 0.1248 0.9675
0.6956 0.5325 0.6573
0.6956 0.6630 0.0382
0.8044 0.4618 0.8370
0.8044 0.8427 0.9675
0.8370 0.5325 0.3752
0.8370 0.8044 0.4618
0.8427 0.3752 0.0382
0.8427 0.9675 0.8044
0.8752 0.0325 0.3370
0.8752 0.3427 0.5382
0.9618 0.1573 0.6248
0.9618 0.3044 0.3370
0.9675 0.6630 0.1248
0.9675 0.8044 0.8427

Record 9
GGA-PBE LiAuBr, optimized geometry; magnetization = 0.0 μB per formula unit; E = -2.673 eV/atom
1.0
4.3306 0.0000 0.0000
0.0000 4.3459 0.0000
0.0000 0.0000 13.5578
Li Au Br
4 4 4
Direct
0.0000 0.0000 0.0000
0.0000 0.5000 0.5000
0.5000 0.0000 0.5000
0.5000 0.5000 0.0000
0.0000 0.0000 0.6440
0.0000 0.5000 0.1440
0.5000 0.0000 0.1440
0.5000 0.5000 0.6440
0.0000 0.0000 0.3887
0.0000 0.5000 0.8887
0.5000 0.0000 0.8887
0.5000 0.5000 0.3887

Record 10
GGA-PBE LiAu2Br2, optimized geometry; magnetization = 0.0 μB per formula unit; E = -2.645 eV/atom
1.0
3.8174 0.0000 0.0000
0.0000 3.8174 0.0000
0.0000 0.0000 16.5828
Li Au Br
2 4 4
Direct
0.0000 0.0000 0.0000
0.5000 0.5000 0.5000
0.0000 0.5000 0.2500
0.0000 0.5000 0.7500
0.5000 0.0000 0.2500
0.5000 0.0000 0.7500
0.0000 0.0000 0.4090
0.0000 0.0000 0.5910
0.5000 0.5000 0.0910
0.5000 0.5000 0.9090

Record 11
GGA-PBE LiAuBr3, optimized geometry; magnetization = 0.0 μB per formula unit; E = -2.480 eV/atom
1.0
5.3559 0.0000 0.0000
0.0000 5.3559 0.0000
0.0000 0.0000 5.3559
Li Au Br
1 1 3
Direct
0.0000 0.0000 0.0000
0.5000 0.5000 0.5000
0.0000 0.5000 0.5000
0.5000 0.0000 0.5000
0.5000 0.5000 0.0000

Record 12
GGA-PBE Li2AuBr, optimized geometry; magnetization = 0.0 μB per formula unit; E = -2.869 eV/atom
1.0
6.8282 0.0000 0.0000
0.0000 6.8282 0.0000
0.0000 0.0000 6.8282
Li Au Br
8 4 4
Direct
0.2500 0.2500 0.2500
0.2500 0.2500 0.7500
0.2500 0.7500 0.2500
0.2500 0.7500 0.7500
0.7500 0.2500 0.2500
0.7500 0.2500 0.7500
0.7500 0.7500 0.2500
0.7500 0.7500 0.7500
0.0000 0.0000 0.0000
0.0000 0.5000 0.5000
0.5000 0.0000 0.5000
0.5000 0.5000 0.0000
0.0000 0.0000 0.5000
0.0000 0.5000 0.0000
0.5000 0.0000 0.0000
0.5000 0.5000 0.5000